Record 1
## AsBr2 (GGA-PBE)

Data for a relaxed AsBr2 crystal.

extended XYZ file:
```
3
Lattice="-1.6944 1.6944 7.1892 1.6944 -1.6944 7.1892 1.6944 1.6944 -7.1892" Properties=species:S:1:pos:R:3 pbc="T T T"
As 0.0000 0.0000 0.0000
Br 0.0000 0.0000 5.4236
Br 0.0000 0.0000 8.9549
```

Summary:
Calculated volume (Å³/f.u.): 83
Formation energy from raw total energies (eV/f.u.): 0.799
Symmetry: I4/mmm
Offset from the most stable computed form (eV/atom): 0.543
Spin magnetization (μB/cell): 0.00

Record 2
## Y3HoPu2Se6 (GGA-PBE)

Data for a relaxed Y3HoPu2Se6 crystal.

extended XYZ file:
```
12
Lattice="8.9423 -2.0423 0.0000 8.9423 2.0423 0.0000 -1.9223 0.0000 8.0010" Properties=species:S:1:pos:R:3 pbc="T T T"
Y 0.0000 0.0000 0.0000
Y 4.6581 0.0000 5.3333
Y 11.3042 0.0000 2.6676
Ho -0.9611 0.0000 4.0005
Pu 5.6552 0.0000 1.3362
Pu 10.3071 0.0000 6.6648
Se 1.8440 0.0000 4.6352
Se 2.8062 0.0000 0.6820
Se 7.4700 0.0000 5.9771
Se 8.4924 0.0000 2.0239
Se 13.1561 0.0000 7.3190
Se 14.1183 0.0000 3.3658
```

Summary:
Calculated volume (Å³/f.u.): 292
Formation energy from raw total energies (eV/f.u.): -20.485
Symmetry: C2/m
Spin magnetization (μB/cell): 11.77

Record 3
## CaSi3Br (GGA-PBE)

Data for a relaxed CaSi3Br crystal.

extended XYZ file:
```
5
Lattice="5.5508 0.0000 0.0000 0.0000 5.5508 0.0000 0.0000 0.0000 5.5508" Properties=species:S:1:pos:R:3 pbc="T T T"
Ca 0.0000 0.0000 0.0000
Si 0.0000 0.0000 2.7754
Si 0.0000 2.7754 0.0000
Si 2.7754 0.0000 0.0000
Br 2.7754 2.7754 2.7754
```

Summary:
Calculated volume (Å³/f.u.): 171
Formation energy from raw total energies (eV/f.u.): 7.090
Symmetry: Pm-3m
Offset from the most stable computed form (eV/atom): 0.573
Spin magnetization (μB/cell): 1.68

Record 4
## SrLa2YCu (GGA-PBE)

Data for a relaxed SrLa2YCu crystal.

extended XYZ file:
```
5
Lattice="5.8662 0.0000 0.0000 0.0000 5.8662 0.0000 0.0000 0.0000 5.7024" Properties=species:S:1:pos:R:3 pbc="T T T"
Sr 0.0000 0.0000 0.0000
La 0.0000 2.9331 0.0000
La 2.9331 0.0000 0.0000
Y 0.0000 0.0000 2.8512
Cu 2.9331 2.9331 2.8512
```

Summary:
Calculated volume (Å³/f.u.): 196
Symmetry: P4/mmm
Formation energy (kJ/mol of formula units): 612
Spin magnetization (μB/cell): 0.00

Record 5
## CaLa2YRu (GGA-PBE)

Data for a relaxed CaLa2YRu crystal.

extended XYZ file:
```
5
Lattice="5.4260 0.0000 0.0000 0.0000 5.4260 0.0000 0.0000 0.0000 5.8208" Properties=species:S:1:pos:R:3 pbc="T T T"
Ca 0.0000 0.0000 0.0000
La 0.0000 2.7130 2.9104
La 2.7130 0.0000 2.9104
Y 2.7130 2.7130 0.0000
Ru 0.0000 0.0000 2.9104
```

Summary:
Calculated volume (Å³/f.u.): 171
Symmetry: P4/mmm
Offset from the most stable computed form (eV/atom): 0.154
Formation energy (kJ/mol of formula units): -3
Spin magnetization (μB/cell): 0.00

Record 6
## DyPaAg (GGA-PBE)

Data for a relaxed DyPaAg crystal.

extended XYZ file:
```
6
Lattice="0.0000 2.8780 10.7015 2.7191 0.0000 10.7015 2.7191 2.8780 0.0000" Properties=species:S:1:pos:R:3 pbc="T T T"
Dy 2.7191 2.8780 2.5090
Dy 2.7191 2.8780 18.8939
Pa 1.3596 1.4390 5.3507
Pa 4.0787 4.3171 16.0522
Ag 2.7191 1.5436 10.7015
Ag 2.7191 4.2125 10.7015
```

Summary:
Calculated volume (Å³/f.u.): 84
Symmetry: Fmmm
Formation energy (kJ/mol of formula units): 148
Spin magnetization (μB/cell): 0.00